The following is a PBE calculation of a relaxed PrSmAu2 crystal, from the Alexandria database.

The structure belongs to space group R-3m (No. 166, hexagonal axes); the cell edges are 4.1874, 4.1874 and 22.6475 Å and the angles 90.00°, 90.00° and 120.00°. Symmetry generates all atoms from Pr at (0.0000, 0.0000, 0.0000), Sm at (0.0000, 0.0000, 0.5000) and Au at (0.0000, 0.0000, 0.2477).

The following is a PBE calculation of a relaxed Pr2Sm3Au4 crystal, from the Alexandria database.

As for the energy above the most stable polymorph in this dataset: 0.0850 eV/atom.

The structure belongs to space group Cmce (No. 64); the cell edges are 7.246, 18.027 and 7.681 Å and the angles 90.00°, 90.00° and 90.00°. Symmetry generates all atoms from Pr at (0.000, 0.096, 0.074), Sm at (0.000, 0.000, 0.500), Sm at (0.250, 0.237, 0.750), Au at (0.000, 0.168, 0.469) and Au at (0.250, 0.067, 0.750).

Number 1: energy of formation -661 meV per atom. Number 2: energy of formation -619 meV per atom.